This record from Alexandria describes an optimized crystal structure of Ta6Os5Ru. The functional is PBE-GGA.

Lattice parameters (Å, degrees): 4.3339 6.8887 13.0308 90.00 90.00 90.00
Space group Immm (No. 71)
One atom of each set of equivalent atoms:
Ta: 0.0000 0.2490 0.0000 (multiplicity 4)
Ta: 0.0000 0.2504 0.3332 (multiplicity 8)
Os: 0.0000 0.0000 0.1683 (multiplicity 4)
Os: 0.0000 0.5000 0.1642 (multiplicity 4)
Os: 0.0000 0.5000 0.5000 (multiplicity 2)
Ru: 0.0000 0.0000 0.5000 (multiplicity 2)

***

This record from Alexandria describes an optimized crystal structure of NbHgRh. The functional is PBE-GGA.

energy above the most stable polymorph in this dataset: 0.17 eV per formula unit

Lattice parameters (Å, degrees): 11.0743 3.0035 6.7445 90.00 106.00 90.00
Space group Cm (No. 8)
One atom of each set of equivalent atoms:
Nb: 0.0000 0.0000 0.0000 (multiplicity 2)
Nb: 0.2091 0.5000 0.9173 (multiplicity 2)
Hg: 0.1586 0.5000 0.3732 (multiplicity 2)
Hg: 0.3784 0.0000 0.2936 (multiplicity 2)
Rh: 0.0411 0.0000 0.6462 (multiplicity 2)
Rh: 0.3317 0.0000 0.7064 (multiplicity 2)

***

no.,formation energy (eV per atom)
1,-0.2716
2,-0.0132